No. 1
Computed, not measured: a geometry-optimized TlTeMoN2 structure at the PBE-GGA level of DFT.

Calculated values
The calculation puts the excess energy over the best structure of this formula in the dataset at 0 meV/atom. As for the total magnetization: 0.0 μB per formula unit.

Unit cell a=4.073 b=4.073 c=5.664 alpha=90.00 beta=90.00 gamma=90.00
Space group P4/mmm (No. 123)
Unique sites:
1 Tl 0.000 0.000 0.000 (multiplicity 1)
2 Te 0.500 0.500 0.000 (multiplicity 1)
3 Mo 0.500 0.500 0.500 (multiplicity 1)
4 N 0.000 0.500 0.500 (multiplicity 2)



No. 2
Computed, not measured: a geometry-optimized TlTeMoN2 structure at the PBE-GGA level of DFT.

Calculated values
The calculation puts the excess energy over the best structure of this formula in the dataset at 1857 meV/atom. As for the total magnetization: 2.4 μB per formula unit.

Unit cell a=4.154 b=4.154 c=6.349 alpha=90.00 beta=90.00 gamma=90.00
Space group P4/mmm (No. 123)
Unique sites:
1 Tl 0.000 0.000 0.000 (multiplicity 1)
2 Te 0.000 0.000 0.500 (multiplicity 1)
3 Mo 0.500 0.500 0.500 (multiplicity 1)
4 N 0.000 0.500 0.000 (multiplicity 2)



No. 3
Computed, not measured: a geometry-optimized ZnTeMo2N structure at the PBE-GGA level of DFT.

Calculated values
As for the total magnetization: 1.1 μB per formula unit.

Unit cell a=4.725 b=4.725 c=4.789 alpha=90.00 beta=90.00 gamma=90.00
Space group P4/mmm (No. 123)
Unique sites:
1 Zn 0.000 0.000 0.000 (multiplicity 1)
2 Te 0.000 0.000 0.500 (multiplicity 1)
3 Mo 0.000 0.500 0.000 (multiplicity 2)
4 N 0.500 0.500 0.500 (multiplicity 1)



No. 4
Computed, not measured: a geometry-optimized ZnTe2MoN structure at the PBE-GGA level of DFT.

Calculated values
The calculation puts the excess energy over the best structure of this formula in the dataset at 0 meV/atom. As for the total magnetization: 0.0 μB per formula unit.

Unit cell a=5.455 b=5.455 c=3.805 alpha=90.00 beta=90.00 gamma=90.00
Space group P4/mmm (No. 123)
Unique sites:
1 Zn 0.000 0.000 0.000 (multiplicity 1)
2 Te 0.000 0.500 0.500 (multiplicity 2)
3 Mo 0.500 0.500 0.500 (multiplicity 1)
4 N 0.500 0.500 0.000 (multiplicity 1)



No. 5
Computed, not measured: a geometry-optimized ZnTe2MoN structure at the PBE-GGA level of DFT.

Calculated values
The calculation puts the excess energy over the best structure of this formula in the dataset at 881 meV/atom. As for the total magnetization: 4.5 μB per formula unit.

Unit cell a=5.456 b=5.456 c=3.629 alpha=90.00 beta=90.00 gamma=90.00
Space group P4/mmm (No. 123)
Unique sites:
1 Zn 0.000 0.000 0.000 (multiplicity 1)
2 Te 0.000 0.500 0.000 (multiplicity 2)
3 Mo 0.500 0.500 0.500 (multiplicity 1)
4 N 0.000 0.000 0.500 (multiplicity 1)



No. 6
Computed, not measured: a geometry-optimized ThMoN structure at the PBE-GGA level of DFT.

Calculated values
As for the total magnetization: 0.0 μB per formula unit.

Unit cell a=16.525 b=3.535 c=3.536 alpha=90.00 beta=90.00 gamma=90.00
Space group Pnma (No. 62)
Unique sites:
1 Th 0.168 0.250 0.236 (multiplicity 4)
2 Mo 0.037 0.750 0.741 (multiplicity 4)
3 N 0.173 0.750 0.737 (multiplicity 4)



No. 7
Computed, not measured: a geometry-optimized Th2Mo2N7 structure at the PBE-GGA level of DFT.

Calculated values
As for the total magnetization: 0.7 μB per formula unit.

Unit cell a=7.507 b=9.747 c=5.191 alpha=90.00 beta=101.82 gamma=90.00
Space group C2/m (No. 12)
Unique sites:
1 Th 0.000 0.198 0.000 (multiplicity 4)
2 Mo 0.230 0.500 0.409 (multiplicity 4)
3 N 0.000 0.500 0.500 (multiplicity 2)
4 N 0.099 0.000 0.272 (multiplicity 4)
5 N 0.244 0.342 0.212 (multiplicity 8)



No. 8
Computed, not measured: a geometry-optimized ThMo2N structure at the PBE-GGA level of DFT.

Calculated values
As for the total magnetization: 0.0 μB per formula unit.

Unit cell a=3.2906 b=3.2906 c=23.2507 alpha=90.00 beta=90.00 gamma=120.00
Space group R-3m (No. 166, hexagonal axes)
Unique sites:
1 Th 0.0000 0.0000 0.0000 (multiplicity 3)
2 Mo 0.0000 0.0000 0.1253 (multiplicity 6)
3 N 0.0000 0.0000 0.5000 (multiplicity 3)



No. 9
Computed, not measured: a geometry-optimized Th3Mo2N6 structure at the PBE-GGA level of DFT.

Calculated values
As for the total magnetization: 0.0 μB per formula unit.

Unit cell a=4.002 b=4.002 c=19.527 alpha=90.00 beta=90.00 gamma=90.00
Space group I4/mmm (No. 139)
Unique sites:
1 Th 0.000 0.000 0.000 (multiplicity 2)
2 Th 0.000 0.000 0.181 (multiplicity 4)
3 Mo 0.000 0.000 0.410 (multiplicity 4)
4 N 0.000 0.000 0.297 (multiplicity 4)
5 N 0.000 0.500 0.088 (multiplicity 8)



No. 10
Computed, not measured: a geometry-optimized Th3MoN6 structure at the PBE-GGA level of DFT.

Calculated values
As for the total magnetization: 0.0 μB per formula unit.

Unit cell a=9.438 b=11.964 c=5.747 alpha=90.00 beta=90.00 gamma=90.00
Space group Cmc2_1 (No. 36)
Unique sites:
1 Th 0.000 0.102 0.000 (multiplicity 4)
2 Th 0.200 0.395 0.974 (multiplicity 8)
3 Mo 0.000 0.305 0.431 (multiplicity 4)
4 N 0.000 0.290 0.763 (multiplicity 4)
5 N 0.000 0.450 0.311 (multiplicity 4)
6 N 0.152 0.240 0.272 (multiplicity 8)
7 N 0.159 0.008 0.733 (multiplicity 8)



No. 11
Computed, not measured: a geometry-optimized Th2VMoN6 structure at the PBE-GGA level of DFT.

Calculated values
As for the total magnetization: 0.0 μB per formula unit.

Unit cell a=5.479 b=5.479 c=4.506 alpha=90.00 beta=90.00 gamma=90.00
Space group P4mm (No. 99)
Unique sites:
1 Th 0.000 0.500 0.000 (multiplicity 2)
2 V 0.000 0.000 0.577 (multiplicity 1)
3 Mo 0.500 0.500 0.574 (multiplicity 1)
4 N 0.000 0.000 0.195 (multiplicity 1)
5 N 0.248 0.248 0.698 (multiplicity 4)
6 N 0.500 0.500 0.174 (multiplicity 1)



No. 12
Computed, not measured: a geometry-optimized Th2MoWN6 structure at the PBE-GGA level of DFT.

Calculated values
As for the total magnetization: 0.0 μB per formula unit.

Unit cell a=5.642 b=5.642 c=4.032 alpha=90.00 beta=90.00 gamma=90.00
Space group P4mm (No. 99)
Unique sites:
1 Th 0.000 0.500 0.000 (multiplicity 2)
2 Mo 0.000 0.000 0.568 (multiplicity 1)
3 W 0.500 0.500 0.544 (multiplicity 1)
4 N 0.000 0.000 0.062 (multiplicity 1)
5 N 0.251 0.251 0.571 (multiplicity 4)
6 N 0.500 0.500 0.054 (multiplicity 1)



How do the records compare in energy? In the order shown, they have -6.067, -4.211, -4.200, -5.054, -4.172, -9.709, -9.381, -9.012, -9.692, -9.708, -9.552, -9.818 eV/atom.
How do the records compare in energy relative to the elements, uncorrected? In the order shown, they have 531, 2387, 2681, 289, 1171, -851, -765, 339, -1158, -1403, -1078, -960 meV/atom.
How do the records compare in D(E_F)? In the order shown, they have 0.55, 1.68, 1.46, 0.69, 0.90, 0.60, 0.73, 1.34, 0.48, 0.00, 0.20, 0.23 states/eV per atom.